Model 1:
Here is LaDyHg4 after structural relaxation from Alexandria. Energies are from PBE.

```
6
Lattice="6.0266 0.0000 0.0000 3.0133 5.2192 0.0000 3.0133 1.7397 4.9207" Properties=species:S:1:pos:R:3 pbc="T T T"
Hg 7.5353 4.3505 3.0763
Dy 0.0000 0.0000 0.0000
Hg 4.5179 4.3505 3.0763
Hg 6.0266 1.7374 3.0763
La 3.0133 1.7397 1.2302
Hg 6.0266 3.4795 0.6126
```

Summary:
Its density of states at the Fermi level is 0.4542 states/eV/atom.

---

Model 2:
Here is LaDyHg4 after structural relaxation from Alexandria. Energies are from PBE.

```
6
Lattice="3.7879 0.0000 1.0956 2.0746 5.2672 -0.0768 -0.2841 -1.4075 8.0783" Properties=species:S:1:pos:R:3 pbc="T T T"
Hg 2.3028 -0.8797 6.2300
Dy 0.0000 0.0000 0.0000
Hg 3.2755 4.7393 2.8671
Hg 1.6482 2.3703 1.3975
Hg 3.9302 1.4893 7.6997
La 2.7892 1.9298 4.5486
```

Summary:
Its density of states at the Fermi level is 0.6631 states/eV/atom.

---

Model 3:
Here is LaDyHg4 after structural relaxation from Alexandria. Energies are from PBE.

```
6
Lattice="4.5644 0.0001 -0.0011 -0.0001 4.5932 -0.0014 0.0032 0.0050 8.7583" Properties=species:S:1:pos:R:3 pbc="T T T"
La 2.2932 2.2854 8.7404
Hg 2.2880 4.5801 2.2911
Hg 0.0092 2.2895 6.4163
Dy 0.0059 4.5863 4.3615
Hg 2.2893 4.5829 6.4308
Hg 0.0075 2.2877 2.3077
```

Summary:
Its density of states at the Fermi level is 0.6838 states/eV/atom.

---

The least stable of the structures above is model 3, whereas model 2 is the most stable.